# SrMoBr3

A relaxed SrMoBr3 crystal (PBEsol, the Alexandria database).

Lattice parameters (Å, degrees): 5.137 5.137 5.137 90.00 90.00 90.00
Last column: magnetic moment on the atom in μB.
Positions (direct):
Br 0.500 0.000 0.000  0.04
Br 0.000 0.000 0.500  0.04
Br 0.000 0.500 0.000  0.04
Sr 0.500 0.500 0.500  0.01
Mo 0.000 0.000 0.000  2.14

Calculated values
Spin magnetization ... 2.541 μB per cell
Energy ... -4.314 eV/atom
Formation energy without anion corrections ... -0.47 eV per atom
SG ... Pm-3m
Fermi-level density of states ... 2.28 states/eV/f.u.